Record 1
12
Lattice="6.039 0.000 0.000 0.000 6.039 0.000 0.000 0.000 7.158" Properties=species:S:1:pos:R:3 comment="AuSe2 PBE optimized geometry" formation_energy_uncorrected_kj_per_mol_atoms=24 mass_density_g_cm3=9.03 final_energy_ev_per_fu=-9.503 dos_at_fermi_per_ev_cell=8.8 pbc="T T T"
Au 0.000 0.000 1.789
Au 0.000 0.000 5.368
Au 3.019 3.019 1.789
Au 3.019 3.019 5.368
Se 0.831 2.188 0.000
Se 0.831 3.850 3.579
Se 2.188 0.831 3.579
Se 2.188 5.208 0.000
Se 3.850 0.831 0.000
Se 3.850 5.208 3.579
Se 5.208 2.188 3.579
Se 5.208 3.850 0.000


Record 2
6
Lattice="2.963 0.000 0.000 0.000 4.214 0.000 0.000 0.000 9.176" Properties=species:S:1:pos:R:3 comment="Au2Se PBE optimized geometry" formation_energy_uncorrected_kj_per_mol_atoms=25 mass_density_g_cm3=13.71 final_energy_ev_per_fu=-9.271 dos_at_fermi_per_ev_cell=1.8 pbc="T T T"
Au 0.000 0.000 1.568
Au 0.000 0.000 7.608
Au 1.482 2.107 3.020
Au 1.482 2.107 6.156
Se 0.000 0.000 4.588
Se 1.482 2.107 0.000


Record 3
12
Lattice="4.972 0.000 0.000 -2.486 4.306 0.000 0.000 0.000 12.401" Properties=species:S:1:pos:R:3 comment="AuSe PBE optimized geometry" formation_energy_uncorrected_kj_per_mol_atoms=28 mass_density_g_cm3=10.35 final_energy_ev_per_fu=-6.179 dos_at_fermi_per_ev_cell=5.5 pbc="T T T"
Au 0.000 0.000 1.357
Au 0.000 0.000 11.044
Au 0.000 2.871 6.910
Au 0.000 2.871 9.624
Au 2.486 1.435 2.777
Au 2.486 1.435 5.490
Se 0.000 0.000 3.891
Se 0.000 0.000 8.510
Se 0.000 2.871 4.376
Se 0.000 2.871 12.158
Se 2.486 1.435 0.242
Se 2.486 1.435 8.025


Record 4
13
Lattice="3.394 1.959 7.642 -3.394 1.959 7.642 0.000 -3.919 7.642" Properties=species:S:1:pos:R:3 comment="Au6Se7 PBE optimized geometry" formation_energy_uncorrected_kj_per_mol_atoms=45 mass_density_g_cm3=9.45 final_energy_ev_per_fu=-37.998 dos_at_fermi_per_ev_cell=9.0 pbc="T T T"
Au 0.000 0.000 1.374
Au 0.000 0.000 4.025
Au 0.000 0.000 7.666
Au 0.000 0.000 15.259
Au 0.000 0.000 18.900
Au 0.000 0.000 21.551
Se -1.696 -0.979 9.496
Se 0.000 -1.959 13.429
Se -1.696 0.979 13.429
Se 0.000 0.000 11.462
Se 1.696 -0.979 9.496
Se 0.000 1.959 9.496
Se 1.696 0.979 13.429


Record 5
12
Lattice="3.408 0.000 0.000 0.000 3.408 0.000 0.000 0.000 22.053" Properties=species:S:1:pos:R:3 comment="AuSe2 PBE optimized geometry" formation_energy_uncorrected_kj_per_mol_atoms=36 mass_density_g_cm3=9.20 final_energy_ev_per_fu=-9.119 dos_at_fermi_per_ev_cell=8.7 pbc="T T T"
Au 0.000 0.852 8.270
Au 0.000 2.556 13.783
Au 1.704 0.852 2.757
Au 1.704 2.556 19.297
Se 0.000 0.852 17.526
Se 0.000 0.852 21.068
Se 0.000 2.556 0.986
Se 0.000 2.556 4.527
Se 1.704 0.852 12.013
Se 1.704 0.852 15.554
Se 1.704 2.556 6.499
Se 1.704 2.556 10.041


Record 6
12
Lattice="6.442 0.000 0.000 0.000 6.442 0.000 0.000 0.000 6.442" Properties=species:S:1:pos:R:3 comment="Au2Se PBE optimized geometry" formation_energy_uncorrected_kj_per_mol_atoms=27 mass_density_g_cm3=11.75 final_energy_ev_per_fu=-9.213 dos_at_fermi_per_ev_cell=2.5 pbc="T T T"
Au 0.848 0.848 0.848
Au 0.848 2.373 4.069
Au 2.373 4.069 0.848
Au 2.373 5.594 4.069
Au 4.069 0.848 2.373
Au 4.069 2.373 5.594
Au 5.594 4.069 2.373
Au 5.594 5.594 5.594
Se 0.000 0.000 3.221
Se 0.000 3.221 0.000
Se 3.221 0.000 0.000
Se 3.221 3.221 3.221


Record 7
3
Lattice="4.910 0.000 0.000 -2.455 4.252 0.000 0.000 0.000 2.816" Properties=species:S:1:pos:R:3 comment="Au2Se PBE optimized geometry" formation_energy_uncorrected_kj_per_mol_atoms=31 mass_density_g_cm3=13.36 final_energy_ev_per_fu=-9.090 dos_at_fermi_per_ev_cell=1.9 pbc="T T T"
Au 0.000 2.835 0.000
Au 2.455 1.417 0.000
Se 0.000 0.000 1.408


Record 8
8
Lattice="5.924 0.000 0.000 0.000 7.225 0.000 -1.655 0.000 4.610" Properties=species:S:1:pos:R:3 comment="AuSe PBE optimized geometry" formation_energy_uncorrected_kj_per_mol_atoms=-7 mass_density_g_cm3=9.29 final_energy_ev_per_fu=-6.899 dos_at_fermi_per_ev_cell=1.0 pbc="T T T"
Au 1.481 1.806 0.000
Au 1.481 5.419 0.000
Au 4.443 1.806 0.000
Au 4.443 5.419 0.000
Se 0.227 0.000 2.955
Se 1.081 3.612 1.655
Se 3.189 3.612 2.955
Se 4.043 0.000 1.655


Record 9
16
Lattice="4.098 0.000 0.000 0.000 4.098 0.000 0.000 0.000 18.331" Properties=species:S:1:pos:R:3 comment="Au3Se PBE optimized geometry" formation_energy_uncorrected_kj_per_mol_atoms=20 mass_density_g_cm3=14.45 final_energy_ev_per_fu=-12.496 dos_at_fermi_per_ev_cell=4.4 pbc="T T T"
Au 0.000 0.000 2.061
Au 0.000 0.000 16.270
Au 0.000 2.049 0.000
Au 0.000 2.049 4.583
Au 0.000 2.049 9.166
Au 0.000 2.049 13.748
Au 2.049 0.000 0.000
Au 2.049 0.000 4.583
Au 2.049 0.000 9.166
Au 2.049 0.000 13.748
Au 2.049 2.049 7.104
Au 2.049 2.049 11.227
Se 0.000 0.000 6.586
Se 0.000 0.000 11.745
Se 2.049 2.049 2.579
Se 2.049 2.049 15.752


Record 10
8
Lattice="5.386 0.000 0.000 0.000 5.386 0.000 0.000 0.000 5.386" Properties=species:S:1:pos:R:3 comment="Au3Se PBE optimized geometry" formation_energy_uncorrected_kj_per_mol_atoms=32 mass_density_g_cm3=14.24 final_energy_ev_per_fu=-11.997 dos_at_fermi_per_ev_cell=3.8 pbc="T T T"
Au 0.000 1.347 2.693
Au 0.000 4.040 2.693
Au 1.347 2.693 0.000
Au 2.693 0.000 1.347
Au 2.693 0.000 4.040
Au 4.040 2.693 0.000
Se 0.000 0.000 0.000
Se 2.693 2.693 2.693


Record 11
12
Lattice="5.063 0.000 0.000 0.000 12.213 0.000 0.000 0.000 4.752" Properties=species:S:1:pos:R:3 comment="AuSe PBE optimized geometry" formation_energy_uncorrected_kj_per_mol_atoms=2 mass_density_g_cm3=9.36 final_energy_ev_per_fu=-6.726 dos_at_fermi_per_ev_cell=6.8 pbc="T T T"
Au 1.266 1.069 1.075
Au 1.266 5.037 1.075
Au 1.266 9.160 1.134
Au 3.797 3.053 3.619
Au 3.797 7.176 3.677
Au 3.797 11.143 3.677
Se 1.266 3.053 2.630
Se 1.266 7.052 4.296
Se 1.266 11.267 4.296
Se 3.797 0.946 0.456
Se 3.797 5.160 0.456
Se 3.797 9.160 2.123


Record 12
8
Lattice="6.234 0.000 0.000 0.000 4.899 0.000 -2.130 0.000 6.266" Properties=species:S:1:pos:R:3 comment="AuSe PBE optimized geometry" formation_energy_uncorrected_kj_per_mol_atoms=-8 mass_density_g_cm3=9.58 final_energy_ev_per_fu=-6.930 dos_at_fermi_per_ev_cell=1.8 pbc="T T T"
Au 1.558 1.225 0.000
Au 0.493 3.674 3.133
Au 3.610 1.225 3.133
Au 4.675 3.674 0.000
Se -0.533 0.457 1.567
Se -1.598 4.441 4.700
Se 1.519 1.992 4.700
Se 2.584 2.907 1.567